Record 1
## HfAlAg (PBE)

Data for an optimized crystal structure of HfAlAg. Values from VASP.

Results
Spin magnetization (μB per formula unit): 0.00
DOS(E_F) (states/eV/atom): 0.717
Space group: Cmcm
Energy of formation from the pure elements (eV per atom): -0.136

Quantum ESPRESSO input file:
```
&SYSTEM
  ibrav = 0, nat = 12, ntyp = 3
/
ATOMIC_SPECIES
Hf 178.49 Hf.upf
Al 26.98 Al.upf
Ag 107.87 Ag.upf
CELL_PARAMETERS angstrom
4.0137 0.0000 0.0000
0.0000 10.0171 0.0000
0.0000 0.0000 5.5515
ATOMIC_POSITIONS crystal
Hf 0.0000 0.2038 0.2500
Hf 0.0000 0.7962 0.7500
Hf 0.5000 0.2962 0.7500
Hf 0.5000 0.7038 0.2500
Al 0.0000 0.0978 0.7500
Al 0.0000 0.9022 0.2500
Al 0.5000 0.4022 0.2500
Al 0.5000 0.5978 0.7500
Ag 0.0000 0.5000 0.0000
Ag 0.0000 0.5000 0.5000
Ag 0.5000 0.0000 0.0000
Ag 0.5000 0.0000 0.5000
```



Record 2
## Al2ZnRh (PBE)

Data for an optimized crystal structure of Al2ZnRh. Values from VASP.

Results
Spin magnetization (μB per formula unit): 0.00
DOS(E_F) (states/eV/atom): 0.504
Space group: P4mm
Energy of formation from the pure elements (eV per atom): -0.346

Quantum ESPRESSO input file:
```
&SYSTEM
  ibrav = 0, nat = 4, ntyp = 3
/
ATOMIC_SPECIES
Al 26.98 Al.upf
Zn 65.41 Zn.upf
Rh 102.91 Rh.upf
CELL_PARAMETERS angstrom
2.8695 0.0000 0.0000
0.0000 2.8695 0.0000
0.0000 0.0000 7.4281
ATOMIC_POSITIONS crystal
Al 0.0000 0.0000 0.0000
Al 0.5000 0.5000 0.2856
Zn 0.5000 0.5000 0.7265
Rh 0.0000 0.0000 0.4902
```



Record 3
## SbIr3F (PBE)

Data for an optimized crystal structure of SbIr3F. Values from VASP.

Results
Spin magnetization (μB per formula unit): 2.68
DOS(E_F) (states/eV/atom): 1.846
Space group: Pm-3m
Excess energy over the best structure of this formula in the dataset (eV/atom): 0.669

Quantum ESPRESSO input file:
```
&SYSTEM
  ibrav = 0, nat = 5, ntyp = 3
/
ATOMIC_SPECIES
Sb 121.76 Sb.upf
Ir 192.22 Ir.upf
F 19.00 F.upf
CELL_PARAMETERS angstrom
4.9225 0.0000 0.0000
0.0000 4.9225 0.0000
0.0000 0.0000 4.9225
ATOMIC_POSITIONS crystal
Sb 0.0000 0.0000 0.0000
Ir 0.0000 0.0000 0.5000
Ir 0.0000 0.5000 0.0000
Ir 0.5000 0.0000 0.0000
F 0.5000 0.5000 0.5000
```



Record 4
## KBa3Ta (PBE)

Data for an optimized crystal structure of KBa3Ta. Values from VASP.

Results
Spin magnetization (μB per formula unit): 0.00
DOS(E_F) (states/eV/atom): 1.477
Space group: Pm-3m
Excess energy over the best structure of this formula in the dataset (eV/atom): 0.000
Energy of formation from the pure elements (eV per atom): 0.783

Quantum ESPRESSO input file:
```
&SYSTEM
  ibrav = 0, nat = 5, ntyp = 3
/
ATOMIC_SPECIES
K 39.10 K.upf
Ba 137.33 Ba.upf
Ta 180.95 Ta.upf
CELL_PARAMETERS angstrom
6.4266 0.0000 0.0000
0.0000 6.4266 0.0000
0.0000 0.0000 6.4266
ATOMIC_POSITIONS crystal
K 0.0000 0.0000 0.0000
Ba 0.0000 0.5000 0.5000
Ba 0.5000 0.0000 0.5000
Ba 0.5000 0.5000 0.0000
Ta 0.5000 0.5000 0.5000
```



Record 5
## HSeI3 (PBE)

Data for an optimized crystal structure of HSeI3. Values from VASP.

Results
Spin magnetization (μB per formula unit): 0.00
DOS(E_F) (states/eV/atom): 0.023
Space group: P-1
Excess energy over the best structure of this formula in the dataset (eV/atom): 0.000

Quantum ESPRESSO input file:
```
&SYSTEM
  ibrav = 0, nat = 10, ntyp = 3
/
ATOMIC_SPECIES
H 1.01 H.upf
Se 78.96 Se.upf
I 126.90 I.upf
CELL_PARAMETERS angstrom
5.3913 0.0000 0.0000
-1.0851 9.1082 0.0000
-0.1858 -2.8164 9.0751
ATOMIC_POSITIONS crystal
H 0.0774 0.1888 0.3164
H 0.9226 0.8112 0.6836
Se 0.2306 0.1941 0.9488
Se 0.7694 0.8059 0.0512
I 0.1772 0.0485 0.6653
I 0.2599 0.3449 0.3036
I 0.2736 0.7144 0.0453
I 0.7264 0.2856 0.9547
I 0.7401 0.6551 0.6964
I 0.8228 0.9515 0.3347
```



Record 6
## Nd12YIn4O3 (PBE)

Data for an optimized crystal structure of Nd12YIn4O3. Values from VASP.

Results
Spin magnetization (μB per formula unit): 0.00
DOS(E_F) (states/eV/atom): 0.856
Space group: Im-3m
Final energy (eV/atom): -5.26

Quantum ESPRESSO input file:
```
&SYSTEM
  ibrav = 0, nat = 20, ntyp = 4
/
ATOMIC_SPECIES
Nd 144.24 Nd.upf
Y 88.91 Y.upf
In 114.82 In.upf
O 16.00 O.upf
CELL_PARAMETERS angstrom
-5.1649 5.1649 5.1649
5.1649 -5.1649 5.1649
5.1649 5.1649 -5.1649
ATOMIC_POSITIONS crystal
Nd 0.0000 0.2748 0.2748
Nd 0.0000 0.7252 0.7252
Nd 0.2500 0.5000 0.7500
Nd 0.2500 0.7500 0.5000
Nd 0.2748 0.0000 0.2748
Nd 0.2748 0.2748 0.0000
Nd 0.5000 0.2500 0.7500
Nd 0.5000 0.7500 0.2500
Nd 0.7252 0.0000 0.7252
Nd 0.7252 0.7252 0.0000
Nd 0.7500 0.2500 0.5000
Nd 0.7500 0.5000 0.2500
Y 0.0000 0.0000 0.0000
In 0.0000 0.0000 0.5000
In 0.0000 0.5000 0.0000
In 0.5000 0.0000 0.0000
In 0.5000 0.5000 0.5000
O 0.0000 0.5000 0.5000
O 0.5000 0.0000 0.5000
O 0.5000 0.5000 0.0000
```



Record 7
## CeRe2Si2C (PBE)

Data for an optimized crystal structure of CeRe2Si2C. Values from VASP.

Results
Spin magnetization (μB per formula unit): 0.00
DOS(E_F) (states/eV/atom): 0.889
Space group: P4/mmm
Final energy (eV/atom): -8.90

Quantum ESPRESSO input file:
```
&SYSTEM
  ibrav = 0, nat = 6, ntyp = 4
/
ATOMIC_SPECIES
Ce 140.12 Ce.upf
Re 186.21 Re.upf
Si 28.09 Si.upf
C 12.01 C.upf
CELL_PARAMETERS angstrom
4.1711 0.0000 0.0000
0.0000 4.1711 0.0000
0.0000 0.0000 5.2879
ATOMIC_POSITIONS crystal
Ce 0.0000 0.0000 0.0000
Re 0.0000 0.5000 0.5000
Re 0.5000 0.0000 0.5000
Si 0.5000 0.5000 0.2196
Si 0.5000 0.5000 0.7804
C 0.0000 0.0000 0.5000
```



Record 8
## PmVSi (PBE)

Data for an optimized crystal structure of PmVSi. Values from VASP.

Results
Spin magnetization (μB per formula unit): 0.00
DOS(E_F) (states/eV/atom): 0.551
Space group: I4mm
Excess energy over the best structure of this formula in the dataset (eV/atom): 0.232

Quantum ESPRESSO input file:
```
&SYSTEM
  ibrav = 0, nat = 6, ntyp = 3
/
ATOMIC_SPECIES
Pm 145.00 Pm.upf
V 50.94 V.upf
Si 28.09 Si.upf
CELL_PARAMETERS angstrom
3.3962 0.0000 0.0000
0.0000 3.3962 0.0000
0.0000 0.0000 10.3200
ATOMIC_POSITIONS crystal
Pm 0.0000 0.0000 0.0000
Pm 0.5000 0.5000 0.5000
V 0.0000 0.0000 0.7129
V 0.5000 0.5000 0.2129
Si 0.0000 0.0000 0.2850
Si 0.5000 0.5000 0.7850
```



Record 9
## EuTlGaAu (PBE)

Data for an optimized crystal structure of EuTlGaAu. Values from VASP.

Results
Spin magnetization (μB per formula unit): 7.00
DOS(E_F) (states/eV/atom): 1.679
Space group: F-43m
Energy of formation from the pure elements (eV per atom): -0.387

Quantum ESPRESSO input file:
```
&SYSTEM
  ibrav = 0, nat = 16, ntyp = 4
/
ATOMIC_SPECIES
Eu 151.96 Eu.upf
Tl 204.38 Tl.upf
Ga 69.72 Ga.upf
Au 196.97 Au.upf
CELL_PARAMETERS angstrom
7.2520 0.0000 0.0000
0.0000 7.2520 0.0000
0.0000 0.0000 7.2520
ATOMIC_POSITIONS crystal
Eu 0.0000 0.0000 0.0000
Eu 0.0000 0.5000 0.5000
Eu 0.5000 0.0000 0.5000
Eu 0.5000 0.5000 0.0000
Tl 0.0000 0.0000 0.5000
Tl 0.0000 0.5000 0.0000
Tl 0.5000 0.0000 0.0000
Tl 0.5000 0.5000 0.5000
Ga 0.2500 0.2500 0.7500
Ga 0.2500 0.7500 0.2500
Ga 0.7500 0.2500 0.2500
Ga 0.7500 0.7500 0.7500
Au 0.2500 0.2500 0.2500
Au 0.2500 0.7500 0.7500
Au 0.7500 0.2500 0.7500
Au 0.7500 0.7500 0.2500
```



Record 10
## Ca2AgRh2 (PBE)

Data for an optimized crystal structure of Ca2AgRh2. Values from VASP.

Results
Spin magnetization (μB per formula unit): 0.00
DOS(E_F) (states/eV/atom): 1.142
Space group: P4/mbm
Excess energy over the best structure of this formula in the dataset (eV/atom): 0.000
Energy of formation from the pure elements (eV per atom): -0.276

Quantum ESPRESSO input file:
```
&SYSTEM
  ibrav = 0, nat = 10, ntyp = 3
/
ATOMIC_SPECIES
Ca 40.08 Ca.upf
Ag 107.87 Ag.upf
Rh 102.91 Rh.upf
CELL_PARAMETERS angstrom
7.0633 0.0000 0.0000
0.0000 7.0633 0.0000
0.0000 0.0000 4.2316
ATOMIC_POSITIONS crystal
Ca 0.1744 0.3256 0.0000
Ca 0.3256 0.8256 0.0000
Ca 0.6744 0.1744 0.0000
Ca 0.8256 0.6744 0.0000
Ag 0.0000 0.0000 0.5000
Ag 0.5000 0.5000 0.5000
Rh 0.1286 0.6286 0.5000
Rh 0.3714 0.1286 0.5000
Rh 0.6286 0.8714 0.5000
Rh 0.8714 0.3714 0.5000
```



Record 11
## ErIrPb (PBE)

Data for an optimized crystal structure of ErIrPb. Values from VASP.

Results
Spin magnetization (μB per formula unit): 0.00
DOS(E_F) (states/eV/atom): 0.446
Space group: Pnma
Energy of formation from the pure elements (eV per atom): -0.508

Quantum ESPRESSO input file:
```
&SYSTEM
  ibrav = 0, nat = 12, ntyp = 3
/
ATOMIC_SPECIES
Er 167.26 Er.upf
Ir 192.22 Ir.upf
Pb 207.20 Pb.upf
CELL_PARAMETERS angstrom
6.9867 0.0000 0.0000
0.0000 4.5964 0.0000
0.0000 0.0000 8.3314
ATOMIC_POSITIONS crystal
Er 0.0217 0.2500 0.1795
Er 0.4783 0.7500 0.6795
Er 0.5217 0.2500 0.3205
Er 0.9783 0.7500 0.8205
Ir 0.2451 0.2500 0.8937
Ir 0.2549 0.7500 0.3937
Ir 0.7451 0.2500 0.6063
Ir 0.7549 0.7500 0.1063
Pb 0.1606 0.2500 0.5708
Pb 0.3394 0.7500 0.0708
Pb 0.6606 0.2500 0.9292
Pb 0.8394 0.7500 0.4292
```



Record 12
## YNi2W (PBE)

Data for an optimized crystal structure of YNi2W. Values from VASP.

Results
Spin magnetization (μB per formula unit): 0.00
DOS(E_F) (states/eV/atom): 1.457
Space group: I-4m2
Excess energy over the best structure of this formula in the dataset (eV/atom): 0.423
Energy of formation from the pure elements (eV per atom): 0.354

Quantum ESPRESSO input file:
```
&SYSTEM
  ibrav = 0, nat = 8, ntyp = 3
/
ATOMIC_SPECIES
Y 88.91 Y.upf
Ni 58.69 Ni.upf
W 183.84 W.upf
CELL_PARAMETERS angstrom
3.7780 0.0000 0.0000
0.0000 3.7780 0.0000
0.0000 0.0000 9.0031
ATOMIC_POSITIONS crystal
Y 0.0000 0.0000 0.0000
Y 0.5000 0.5000 0.5000
Ni 0.0000 0.0000 0.5000
Ni 0.0000 0.5000 0.7500
Ni 0.5000 0.0000 0.2500
Ni 0.5000 0.5000 0.0000
W 0.0000 0.5000 0.2500
W 0.5000 0.0000 0.7500
```



> What is the spin magnetization in the eleventh record?

0.00 μB per formula unit



> Which of these has the highest DOS(E_F)?

SbIr3F



> The highest spin magnetization belongs to which entry?

EuTlGaAu



> Look up the spin magnetization of the seventh one.

0.00 μB per formula unit